No. 1
Na4SiO4 | PBE-GGA | optimized geometry

Symmetry ... I4/m, No. 87
Magnetization ... 0.0 Bohr magnetons per cell
Final energy ... -5.088 eV/atom
Crystal system ... tetragonal
Uncorrected formation energy ... -15.26 eV/f.u.

Structure (POSCAR):
```
Na4SiO4
1.0
4.242 0.000 0.000
2.121 5.516 0.000
2.121 0.000 5.516
Si O Na
1 4 4
Direct
0.000 0.000 0.000
0.214 0.724 0.849
0.938 0.849 0.276
0.062 0.151 0.724
0.786 0.276 0.151
0.809 0.553 0.829
0.638 0.171 0.553
0.362 0.829 0.447
0.191 0.447 0.171
```

=====

No. 2
Co2TcIr | PBE-GGA | optimized geometry

Symmetry ... P4/mmm, No. 123
Excess energy over the best structure of this formula in the dataset ... 0.291 eV/f.u.
Magnetization ... 2.2 Bohr magnetons per cell
Final energy ... -8.305 eV/atom
Crystal system ... tetragonal
E_form ... 55 meV per atom

Structure (POSCAR):
```
Co2TcIr
1.0
-0.066 1.575 -2.110
-2.114 -1.290 -0.896
-4.341 4.621 3.584
Co Tc Ir
2 1 1
Direct
0.000 0.000 0.001
0.000 0.000 0.499
0.500 0.500 0.750
0.500 0.500 0.250
```

=====

No. 3
Ti3CSe2 | PBE-GGA | optimized geometry

Symmetry ... Immm, No. 71
Magnetization ... 0.0 Bohr magnetons per cell
Final energy ... -7.589 eV/atom
Crystal system ... orthorhombic
Uncorrected formation energy ... -5.66 eV/f.u.

Structure (POSCAR):
```
Ti3CSe2
1.0
4.770 0.000 0.000
0.000 6.689 0.001
-2.385 -1.673 5.811
Ti C Se
6 2 4
Direct
0.887 0.944 0.774
0.113 0.556 0.226
0.500 0.250 0.000
0.500 0.750 0.000
0.113 0.056 0.226
0.887 0.444 0.774
0.000 0.250 0.000
0.000 0.750 0.000
0.322 0.911 0.645
0.678 0.089 0.355
0.678 0.589 0.355
0.322 0.411 0.645
```

=====

No. 4
AlTl2Au | PBE-GGA | optimized geometry

Symmetry ... I-42d, No. 122
Excess energy over the best structure of this formula in the dataset ... 1.023 eV/f.u.
Magnetization ... 0.0 Bohr magnetons per cell
Final energy ... -2.737 eV/atom
Crystal system ... tetragonal
E_form ... 202 meV per atom

Structure (POSCAR):
```
AlTl2Au
1.0
-2.239 -2.805 2.344
3.654 -1.799 1.336
0.984 4.513 10.260
Tl Al Au
4 2 2
Direct
0.875 0.875 0.750
0.375 0.375 0.750
0.625 0.125 0.250
0.125 0.625 0.250
0.250 0.750 0.500
0.500 0.500 0.000
0.750 0.250 0.500
0.000 0.000 0.000
```

=====

No. 5
CdTcSbI2 | PBE-GGA | optimized geometry

Symmetry ... P4/mmm, No. 123
Excess energy over the best structure of this formula in the dataset ... 3.511 eV/f.u.
Magnetization ... 4.1 Bohr magnetons per cell
Final energy ... -2.571 eV/atom
Crystal system ... tetragonal
Uncorrected formation energy ... 5.65 eV/f.u.

Structure (POSCAR):
```
CdTcSbI2
1.0
-1.493 1.929 -5.217
-5.372 -1.900 0.835
-1.447 5.105 2.302
Tc I Cd Sb
1 2 1 1
Direct
0.500 0.500 0.500
0.500 0.000 0.000
0.000 0.500 0.000
0.000 0.000 0.000
0.000 0.000 0.500
```

=====

No. 6
Co2GeW | PBE-GGA | optimized geometry

Symmetry ... I-42d, No. 122
Magnetization ... 0.0 Bohr magnetons per cell
Final energy ... -7.030 eV/atom
Crystal system ... tetragonal
E_form ... 916 meV per atom

Structure (POSCAR):
```
Co2GeW
1.0
-2.513 1.095 4.721
-3.580 -4.004 -0.977
-0.132 -4.618 4.156
W Co Ge
2 4 2
Direct
0.000 0.000 0.000
0.750 0.250 0.500
0.132 0.625 0.250
0.875 0.868 0.750
0.375 0.382 0.750
0.618 0.125 0.250
0.250 0.750 0.500
0.500 0.500 0.000
```

=====

No. 7
LiYOs2 | PBE-GGA | optimized geometry

Symmetry ... P4mm, No. 99
Excess energy over the best structure of this formula in the dataset ... 0.308 eV/f.u.
Magnetization ... 0.0 Bohr magnetons per cell
Final energy ... -7.437 eV/atom
Crystal system ... tetragonal
E_form ... 273 meV per atom

Structure (POSCAR):
```
LiYOs2
1.0
2.989 0.000 0.000
0.000 2.989 0.000
0.000 0.000 7.600
Y Li Os
1 1 2
Direct
0.000 0.000 0.492
0.500 0.500 0.801
0.000 0.000 0.002
0.500 0.500 0.205
```

=====

No. 8
TlV3Sn | PBE-GGA | optimized geometry

Symmetry ... Pm-3m, No. 221
Excess energy over the best structure of this formula in the dataset ... 0.000 eV/f.u.
Magnetization ... 8.5 Bohr magnetons per cell
Final energy ... -5.360 eV/atom
Crystal system ... cubic
E_form ... 1385 meV per atom

Structure (POSCAR):
```
TlV3Sn
1.0
-2.045 4.177 -2.035
-3.550 -2.839 -2.260
-2.998 0.513 4.065
V Sn Tl
3 1 1
Direct
0.500 0.000 0.000
0.000 0.000 0.500
0.000 0.500 0.000
0.000 0.000 0.000
0.500 0.500 0.500
```